First-principles (GGA-PBE) data for ZrAlAgAu after structural relaxation, as listed in the Open Quantum Materials Database.

Values from the calculation:
E above lowest polymorph   124 meV per atom
Uncorrected energy   -77.368 eV for the cell shown
Space-group type   No. 216

abc: 6.6184 6.6184 6.6184
angles: 90.00 90.00 90.00
Closest atoms and distances in Å follow each position.
Fractional positions:
Zr 0.0000 0.0000 0.0000  4 Al 2.87, 4 Ag 2.87
Zr 0.0000 0.5000 0.5000  4 Al 2.87, 4 Ag 2.87
Zr 0.5000 0.0000 0.5000  4 Al 2.87, 4 Ag 2.87
Zr 0.5000 0.5000 0.0000  4 Al 2.87, 4 Ag 2.87
Al 0.2500 0.2500 0.7500  4 Zr 2.87, 4 Au 2.87
Al 0.2500 0.7500 0.2500  4 Zr 2.87, 4 Au 2.87
Al 0.7500 0.2500 0.2500  4 Zr 2.87, 4 Au 2.87
Al 0.7500 0.7500 0.7500  4 Zr 2.87, 4 Au 2.87
Ag 0.2500 0.2500 0.2500  4 Zr 2.87, 4 Au 2.87
Ag 0.2500 0.7500 0.7500  4 Zr 2.87, 4 Au 2.87
Ag 0.7500 0.2500 0.7500  4 Zr 2.87, 4 Au 2.87
Ag 0.7500 0.7500 0.2500  4 Zr 2.87, 4 Au 2.87
Au 0.0000 0.0000 0.5000  4 Al 2.87, 4 Ag 2.87
Au 0.0000 0.5000 0.0000  4 Al 2.87, 4 Ag 2.87
Au 0.5000 0.0000 0.0000  4 Al 2.87, 4 Ag 2.87
Au 0.5000 0.5000 0.5000  4 Al 2.87, 4 Ag 2.87